(1)
Material: LaRe2Se
Method: DFT, PBE-GGA
State: optimized geometry

Computed properties:
Total moment ... 0.0 μB per cell
N(E_F) ... 3.48 states/eV per cell
Formation energy (no corrections) ... 0.692 eV/atom

Cell: 3.099 4.477 5.875 Å, 90.00 90.00 90.00°
Fractional coordinates of all 4 atoms:
1 La 0.500 0.500 0.750
2 Re 0.000 0.000 0.054
3 Re 0.000 0.000 0.446
4 Se 0.500 0.500 0.250



(2)
Material: CsPSCl2
Method: DFT, PBE-GGA
State: optimized geometry

Computed properties:
Total moment ... 0.0 μB per cell
N(E_F) ... 1.85 states/eV per cell
Formation energy (no corrections) ... -0.688 eV/atom
E above lowest polymorph ... 0.00 kcal/mol of atoms

Cell: 5.345 5.345 4.527 Å, 90.00 90.00 90.00°
Fractional coordinates of all 5 atoms:
1 Cs 0.500 0.500 0.500
2 P 0.000 0.000 0.000
3 S 0.000 0.000 0.500
4 Cl 0.000 0.500 0.000
5 Cl 0.500 0.000 0.000